CaAl2Re (PBE-GGA, relaxed); energy relative to the lowest polymorph listed for this composition = 493 meV per atom; symmetry = F-43m (216); crystal system = cubic
1.0
6.5609 0.0000 0.0000
0.0000 6.5609 0.0000
0.0000 0.0000 6.5609
Ca Al Re
4 8 4
Direct
0.0000 0.0000 0.0000
0.0000 0.5000 0.5000
0.5000 0.0000 0.5000
0.5000 0.5000 0.0000
0.0000 0.0000 0.5000
0.0000 0.5000 0.0000
0.2500 0.2500 0.7500
0.2500 0.7500 0.2500
0.5000 0.0000 0.0000
0.5000 0.5000 0.5000
0.7500 0.2500 0.2500
0.7500 0.7500 0.7500
0.2500 0.2500 0.2500
0.2500 0.7500 0.7500
0.7500 0.2500 0.7500
0.7500 0.7500 0.2500

MnCrBr3 (PBE-GGA, relaxed); symmetry = Pm-3m (221); ΔE_f (raw) = -0.301 eV per formula unit; crystal system = cubic
1.0
5.2499 0.0000 0.0000
0.0000 5.2499 0.0000
0.0000 0.0000 5.2499
Mn Cr Br
1 1 3
Direct
0.0000 0.0000 0.0000
0.5000 0.5000 0.5000
0.0000 0.0000 0.5000
0.0000 0.5000 0.0000
0.5000 0.0000 0.0000

PaH4Ru (PBE-GGA, relaxed); symmetry = Cmcm (63); crystal system = orthorhombic
1.0
1.9450 -6.0223 0.0000
1.9450 6.0223 0.0000
0.0000 0.0000 4.6256
Pa H Ru
2 8 2
Direct
0.1335 0.8665 0.7500
0.8665 0.1335 0.2500
0.0890 0.9110 0.2500
0.2942 0.7058 0.0433
0.2942 0.7058 0.4567
0.5000 0.5000 0.0000
0.5000 0.5000 0.5000
0.7058 0.2942 0.5433
0.7058 0.2942 0.9567
0.9110 0.0890 0.7500
0.3851 0.6149 0.7500
0.6149 0.3851 0.2500

HfFeI2N (PBE-GGA, relaxed); energy relative to the lowest polymorph listed for this composition = 147 meV per atom; symmetry = P4/mmm (123); ΔE_f (raw) = 2.565 eV per formula unit; crystal system = tetragonal
1.0
5.3937 0.0000 0.0000
0.0000 5.3937 0.0000
0.0000 0.0000 3.4758
Hf Fe I N
1 1 2 1
Direct
0.0000 0.0000 0.0000
0.5000 0.5000 0.5000
0.0000 0.5000 0.5000
0.5000 0.0000 0.5000
0.5000 0.5000 0.0000

PuSc2Sn (PBE-GGA, relaxed); energy relative to the lowest polymorph listed for this composition = 0 meV per atom; symmetry = P4/mmm (123); crystal system = tetragonal
1.0
4.6666 0.0000 0.0000
0.0000 4.6666 0.0000
0.0000 0.0000 4.4033
Pu Sc Sn
1 2 1
Direct
0.0000 0.0000 0.0000
0.0000 0.5000 0.5000
0.5000 0.0000 0.5000
0.5000 0.5000 0.0000

BeRuCl2 (PBE-GGA, relaxed); energy relative to the lowest polymorph listed for this composition = 527 meV per atom; symmetry = I-42d (122); ΔE_f (raw) = 1.162 eV per formula unit; crystal system = tetragonal
1.0
5.3792 0.0000 0.0000
0.0000 5.3792 0.0000
0.0000 0.0000 9.5024
Be Ru Cl
4 4 8
Direct
0.0000 0.0000 0.0000
0.0000 0.5000 0.2500
0.5000 0.0000 0.7500
0.5000 0.5000 0.5000
0.0000 0.0000 0.5000
0.0000 0.5000 0.7500
0.5000 0.0000 0.2500
0.5000 0.5000 0.0000
0.1822 0.2500 0.1250
0.2500 0.6822 0.3750
0.2500 0.8178 0.8750
0.3178 0.2500 0.6250
0.6822 0.7500 0.6250
0.7500 0.1822 0.8750
0.7500 0.3178 0.3750
0.8178 0.7500 0.1250

Sb2RuAuI (PBE-GGA, relaxed); energy relative to the lowest polymorph listed for this composition = 0 meV per atom; symmetry = P4/mmm (123); ΔE_f (raw) = 2.688 eV per formula unit; crystal system = tetragonal
1.0
5.0302 0.0000 0.0000
0.0000 5.0302 0.0000
0.0000 0.0000 5.6331
Sb Ru Au I
2 1 1 1
Direct
0.0000 0.5000 0.0000
0.5000 0.0000 0.0000
0.0000 0.0000 0.0000
0.5000 0.5000 0.5000
0.0000 0.0000 0.5000

BaTeRhI2 (PBE-GGA, relaxed); energy relative to the lowest polymorph listed for this composition = 0 meV per atom; symmetry = P4/mmm (123); ΔE_f (raw) = -3.766 eV per formula unit; crystal system = tetragonal
1.0
5.4883 0.0000 0.0000
0.0000 5.4883 0.0000
0.0000 0.0000 5.4654
Ba Te Rh I
1 1 1 2
Direct
0.0000 0.0000 0.0000
0.5000 0.5000 0.0000
0.5000 0.5000 0.5000
0.0000 0.5000 0.5000
0.5000 0.0000 0.5000

AgTePRh2 (PBE-GGA, relaxed); symmetry = P4/mmm (123); ΔE_f (raw) = 1.634 eV per formula unit; crystal system = tetragonal
1.0
4.3904 0.0000 0.0000
0.0000 4.3904 0.0000
0.0000 0.0000 5.3047
Ag Te P Rh
1 1 1 2
Direct
0.0000 0.0000 0.0000
0.5000 0.5000 0.0000
0.5000 0.5000 0.5000
0.0000 0.5000 0.5000
0.5000 0.0000 0.5000

Ac19Sm4Y6 (PBE-GGA, relaxed); symmetry = I23 (197); crystal system = cubic
1.0
-6.7952 6.7952 6.7952
6.7952 -6.7952 6.7952
6.7952 6.7952 -6.7952
Ac Sm Y
19 4 6
Direct
0.0000 0.0000 0.0000
0.0000 0.2662 0.2662
0.0000 0.7338 0.7338
0.0053 0.2174 0.6628
0.2121 0.9947 0.6575
0.2174 0.6628 0.0053
0.2662 0.0000 0.2662
0.2662 0.2662 0.0000
0.3372 0.5546 0.3425
0.3425 0.3372 0.5546
0.4454 0.7826 0.7879
0.5546 0.3425 0.3372
0.6575 0.2121 0.9947
0.6628 0.0053 0.2174
0.7338 0.0000 0.7338
0.7338 0.7338 0.0000
0.7826 0.7879 0.4454
0.7879 0.4454 0.7826
0.9947 0.6575 0.2121
0.0000 0.0000 0.3536
0.0000 0.3536 0.0000
0.3536 0.0000 0.0000
0.6464 0.6464 0.6464
0.1174 0.5000 0.6174
0.3826 0.8826 0.5000
0.5000 0.3826 0.8826
0.5000 0.6174 0.1174
0.6174 0.1174 0.5000
0.8826 0.5000 0.3826

ZrBeSiBr2 (PBE-GGA, relaxed); symmetry = P4/mmm (123); ΔE_f (raw) = 4.421 eV per formula unit; crystal system = tetragonal
1.0
5.0042 0.0000 0.0000
0.0000 5.0042 0.0000
0.0000 0.0000 5.4972
Zr Be Si Br
1 1 1 2
Direct
0.0000 0.0000 0.0000
0.5000 0.5000 0.0000
0.0000 0.0000 0.5000
0.0000 0.5000 0.5000
0.5000 0.0000 0.5000

TmHf2Ga9 (PBE-GGA, relaxed); symmetry = P4/mmm (123); crystal system = tetragonal
1.0
4.1599 0.0000 0.0000
0.0000 4.1599 0.0000
0.0000 0.0000 12.3822
Tm Hf Ga
1 2 9
Direct
0.0000 0.0000 0.0000
0.0000 0.0000 0.3382
0.0000 0.0000 0.6618
0.0000 0.5000 0.1735
0.0000 0.5000 0.5000
0.0000 0.5000 0.8265
0.5000 0.0000 0.1735
0.5000 0.0000 0.5000
0.5000 0.0000 0.8265
0.5000 0.5000 0.0000
0.5000 0.5000 0.3349
0.5000 0.5000 0.6651

ZrIr2Ru (PBE-GGA, relaxed); energy relative to the lowest polymorph listed for this composition = 184 meV per atom; symmetry = P2/m (10); crystal system = monoclinic
1.0
4.7297 0.0000 0.0000
0.0000 2.8884 0.0000
-1.3982 0.0000 4.6168
Zr Ir Ru
1 2 1
Direct
0.0000 0.0000 0.0000
0.0000 0.5000 0.5000
0.5000 0.0000 0.5000
0.5000 0.5000 0.0000

Dy2Y4TmSc2 (PBE-GGA, relaxed); symmetry = C2/m (12); crystal system = monoclinic
1.0
8.3913 -1.7428 0.0000
8.3913 1.7428 0.0000
-1.7634 0.0000 9.3034
Dy Y Tm Sc
2 4 1 2
Direct
0.1557 0.1557 0.0916
0.8443 0.8443 0.9084
0.1769 0.1769 0.7318
0.4868 0.4868 0.1766
0.5132 0.5132 0.8234
0.8231 0.8231 0.2682
0.0000 0.0000 0.5000
0.3330 0.3330 0.5782
0.6670 0.6670 0.4218

Zr2TlOs (PBE-GGA, relaxed); energy relative to the lowest polymorph listed for this composition = 0 meV per atom; symmetry = P2/m (10); crystal system = monoclinic
1.0
3.2073 0.0000 0.0000
0.0000 3.2067 0.0000
-0.1298 0.0000 8.0486
Zr Tl Os
2 1 1
Direct
0.0108 0.0000 0.2915
0.9892 0.0000 0.7085
0.5000 0.5000 0.0000
0.5000 0.5000 0.5000

Li2ZrZn9 (PBE-GGA, relaxed); symmetry = R-3m (166); crystal system = trigonal
1.0
2.5793 1.4892 8.2950
-2.5793 1.4892 8.2950
0.0000 -2.9783 8.2950
Li Zr Zn
2 1 9
Direct
0.1412 0.1412 0.1412
0.8588 0.8588 0.8588
0.0000 0.0000 0.0000
0.0796 0.5875 0.5875
0.3341 0.3341 0.3341
0.4125 0.4125 0.9204
0.4125 0.9204 0.4125
0.5000 0.5000 0.5000
0.5875 0.0796 0.5875
0.5875 0.5875 0.0796
0.6659 0.6659 0.6659
0.9204 0.4125 0.4125

Rb6NbSb4 (PBE-GGA, relaxed); symmetry = P6_3mc (186); ΔE_f (raw) = -3.879 eV per formula unit; crystal system = hexagonal
1.0
11.4402 0.0000 0.0000
-5.7201 9.9075 0.0000
0.0000 0.0000 9.0907
Rb Nb Sb
12 2 8
Direct
0.0603 0.5302 0.0000
0.1441 0.2883 0.6835
0.1441 0.8559 0.6835
0.2883 0.1441 0.1835
0.4698 0.5302 0.0000
0.4698 0.9397 0.0000
0.5302 0.0603 0.5000
0.5302 0.4698 0.5000
0.7117 0.8559 0.6835
0.8559 0.1441 0.1835
0.8559 0.7117 0.1835
0.9397 0.4698 0.5000
0.3333 0.6667 0.3897
0.6667 0.3333 0.8897
0.2028 0.4057 0.2978
0.2028 0.7972 0.2978
0.3333 0.6667 0.6865
0.4057 0.2028 0.7978
0.5943 0.7972 0.2978
0.6667 0.3333 0.1865
0.7972 0.2028 0.7978
0.7972 0.5943 0.7978

InCo2Pt (PBE-GGA, relaxed); symmetry = Cm (8); crystal system = monoclinic
1.0
8.9903 0.0000 0.0000
0.0000 2.8769 0.0000
-1.1149 0.0000 4.4917
In Co Pt
2 4 2
Direct
0.0000 0.0000 0.0000
0.5000 0.5000 0.0000
0.2602 0.5000 0.2666
0.4845 0.0000 0.4776
0.7602 0.0000 0.2666
0.9845 0.5000 0.4776
0.2356 0.0000 0.7206
0.7356 0.5000 0.7206

Mo4P3 (PBE-GGA, relaxed); energy relative to the lowest polymorph listed for this composition = 705 meV per atom; symmetry = P6/mmm (191); crystal system = hexagonal
1.0
4.8895 0.0000 0.0000
-2.4447 4.2344 0.0000
0.0000 0.0000 4.8614
Mo P
4 3
Direct
0.0000 0.0000 0.2496
0.0000 0.0000 0.7504
0.3333 0.6667 0.0000
0.6667 0.3333 0.0000
0.0000 0.5000 0.5000
0.5000 0.0000 0.5000
0.5000 0.5000 0.5000

Hf2OsN (PBE-GGA, relaxed); symmetry = I-42d (122); ΔE_f (raw) = -1.931 eV per formula unit; crystal system = tetragonal
1.0
6.1750 0.0000 0.0000
0.0000 6.1750 0.0000
0.0000 0.0000 7.2318
Hf Os N
8 4 4
Direct
0.1772 0.7500 0.1250
0.2500 0.1772 0.8750
0.2500 0.3228 0.3750
0.3228 0.7500 0.6250
0.6772 0.2500 0.6250
0.7500 0.6772 0.3750
0.7500 0.8228 0.8750
0.8228 0.2500 0.1250
0.0000 0.0000 0.5000
0.0000 0.5000 0.7500
0.5000 0.0000 0.2500
0.5000 0.5000 0.0000
0.0000 0.0000 0.0000
0.0000 0.5000 0.2500
0.5000 0.0000 0.7500
0.5000 0.5000 0.5000

How do the records compare in M_tot? In the order shown, they have 0.00; 10.00; 0.02; 0.00; 7.24; 2.00; 0.00; 0.00; 0.00; 0.00; 1.58; 0.00; 0.00; 0.00; 0.00; 0.00; 1.12; 2.96; 0.00; 0.00 μB/f.u..
How do the records compare in energy? In the order shown, they have -5.09; -4.82; -5.62; -5.46; -8.08; -3.88; -3.93; -3.86; -4.89; -4.30; -3.32; -4.72; -9.23; -5.75; -7.93; -2.12; -3.29; -5.71; -8.14; -10.35 eV per atom.